Material: PaGaNiO6
Method: DFT, PBE with a Hubbard U
State: optimized geometry

a b c (Å): 5.0644 5.0644 4.7711
angles (deg): 90.00 90.00 120.00
Atoms (fractional coordinates):
Pa (0.0000, 0.0000, 0.0000)
Ga (0.3333, 0.6667, 0.5000)
Ni (0.6667, 0.3333, 0.5000)
O (0.3503, 0.0038, 0.2718)
O (0.3503, 0.3464, 0.7282)
O (0.6536, 0.0038, 0.7282)
O (0.6536, 0.6497, 0.2718)
O (0.9962, 0.3464, 0.2718)
O (0.9962, 0.6497, 0.7282)

The symmetry is P312. As for the magnetic moment: 2.131 μB per formula unit. The density of states at the Fermi level is 5.519 states/eV/f.u. The final energy is -6.904 eV/atom.